Entry 1:
Material: Sm12Co6Pb
Method: DFT, GGA-PBE
State: optimized geometry

a = 8.580 Å, b = 8.580 Å, c = 8.580 Å
α = 109.47°, β = 109.47°, γ = 109.47°
Atoms (fractional coordinates):
Pb: 0.000 0.000 0.000
Sm: 0.694 0.888 0.194
Sm: 0.806 0.306 0.112
Sm: 0.694 0.500 0.806
Sm: 0.500 0.806 0.694
Sm: 0.306 0.112 0.806
Sm: 0.194 0.694 0.888
Sm: 0.806 0.694 0.500
Sm: 0.112 0.806 0.306
Sm: 0.306 0.500 0.194
Co: 0.500 0.889 0.389
Co: 0.611 0.500 0.111
Co: 0.889 0.389 0.500
Co: 0.389 0.500 0.889
Sm: 0.500 0.194 0.306
Sm: 0.888 0.194 0.694
Co: 0.500 0.111 0.611
Co: 0.111 0.611 0.500
Sm: 0.194 0.306 0.500

- crystal system = cubic
- mass density (g/cm³) = 8.1
- space group = Im-3, No. 204

---

Entry 2:
Material: Sm12Co5Pb
Method: DFT, GGA-PBE
State: optimized geometry

a = 8.500 Å, b = 8.500 Å, c = 8.500 Å
α = 107.57°, β = 110.68°, γ = 110.18°
Atoms (fractional coordinates):
Sm: 0.888 0.186 0.703
Sm: 0.693 0.313 0.006
Sm: 0.808 0.608 0.800
Co: 0.618 0.618 0.000
Sm: 0.808 0.009 0.200
Sm: 0.307 0.687 0.994
Co: 0.500 0.111 0.611
Sm: 0.307 0.313 0.621
Sm: 0.517 0.814 0.703
Sm: 0.112 0.814 0.297
Sm: 0.192 0.991 0.800
Sm: 0.192 0.392 0.200
Co: 0.382 0.382 0.000
Co: 0.500 0.889 0.389
Pb: 0.000 0.500 0.500
Co: 0.000 0.000 0.000
Sm: 0.483 0.186 0.297
Sm: 0.693 0.687 0.379

- crystal system = orthorhombic
- mass density (g/cm³) = 8.1
- space group = Immm, No. 71

---

Entry 3:
Material: Sm5Co2Pb
Method: DFT, GGA-PBE
State: optimized geometry

a = 7.785 Å, b = 7.785 Å, c = 8.835 Å
α = 116.14°, β = 116.14°, γ = 90.00°
Atoms (fractional coordinates):
Co: 0.363 0.863 0.000
Pb: 0.250 0.250 0.500
Sm: 0.971 0.471 0.261
Co: 0.863 0.637 0.000
Sm: 0.500 0.500 0.000
Sm: 0.471 0.290 0.261
Sm: 0.529 0.710 0.739
Sm: 0.790 0.971 0.261
Sm: 0.210 0.029 0.739
Co: 0.637 0.137 0.000
Sm: 0.000 0.000 0.000
Sm: 0.710 0.210 0.739
Sm: 0.029 0.529 0.739
Sm: 0.290 0.790 0.261
Co: 0.137 0.363 0.000
Pb: 0.750 0.750 0.500

- crystal system = tetragonal
- mass density (g/cm³) = 8.5
- space group = I4/mcm, No. 140

---

Entry 4:
Material: Sm8Co2Pb
Method: DFT, GGA-PBE
State: optimized geometry

a = 5.455 Å, b = 8.065 Å, c = 8.065 Å
α = 114.72°, β = 97.12°, γ = 97.12°
Atoms (fractional coordinates):
Co: 0.500 0.703 0.303
Pb: 0.000 0.003 0.003
Sm: 0.000 0.254 0.752
Sm: 0.202 0.399 0.399
Sm: 0.798 0.607 0.607
Sm: 0.435 0.930 0.672
Sm: 0.565 0.334 0.076
Sm: 0.000 0.752 0.254
Sm: 0.435 0.672 0.930
Co: 0.500 0.303 0.703
Sm: 0.565 0.076 0.334

- crystal system = monoclinic
- mass density (g/cm³) = 8.1
- space group = C2/m, No. 12

---

Entry 5:
Material: Sm4CoPb
Method: DFT, GGA-PBE
State: optimized geometry

a = 6.138 Å, b = 7.110 Å, c = 9.117 Å
α = 112.95°, β = 110.03°, γ = 90.00°
Atoms (fractional coordinates):
Pb: 0.188 0.195 0.390
Sm: 0.000 0.229 0.000
Sm: 0.375 0.137 0.769
Sm: 0.214 0.686 0.371
Sm: 0.375 0.632 0.769
Co: 0.305 0.515 0.030
Pb: 0.812 0.805 0.610
Sm: 0.625 0.863 0.231
Sm: 0.786 0.314 0.629
Co: 0.695 0.485 0.970
Sm: 0.000 0.771 0.000
Sm: 0.625 0.368 0.231

- crystal system = monoclinic
- mass density (g/cm³) = 8.5
- space group = C2/m, No. 12

---

Entry 6:
Material: Sm3CoPb
Method: DFT, GGA-PBE
State: optimized geometry

a = 5.232 Å, b = 5.232 Å, c = 5.232 Å
α = 90.00°, β = 90.00°, γ = 90.00°
Atoms (fractional coordinates):
Sm: 0.000 0.000 0.500
Sm: 0.500 0.000 0.000
Co: 0.000 0.000 0.000
Pb: 0.500 0.500 0.500
Sm: 0.000 0.500 0.000

- crystal system = cubic
- mass density (g/cm³) = 8.3
- space group = Pm-3m, No. 221

---

Entry 7:
Material: Co2Sn2Pb
Method: DFT, GGA-PBE
State: optimized geometry

a = 4.444 Å, b = 4.444 Å, c = 6.186 Å
α = 68.95°, β = 68.95°, γ = 90.00°
Last column: magnetic moment on the atom in μB.
Atoms (fractional coordinates):
Co: 0.250 0.750 0.500  0.59
Pb: 0.000 0.000 0.000  0.00
Sn: 0.639 0.639 0.723  -0.04
Sn: 0.361 0.361 0.277  -0.04
Co: 0.750 0.250 0.500  0.59

- crystal system = tetragonal
- mass density (g/cm³) = 8.9
- space group = I4/mmm, No. 139

---

Entry 8:
Material: CoSn3Pb
Method: DFT, GGA-PBE
State: optimized geometry

a = 5.025 Å, b = 5.025 Å, c = 5.025 Å
α = 90.00°, β = 90.00°, γ = 90.00°
Atoms (fractional coordinates):
Sn: 0.000 0.500 0.000
Co: 0.000 0.000 0.000
Sn: 0.000 0.000 0.500
Sn: 0.500 0.000 0.000
Pb: 0.500 0.500 0.500

- crystal system = cubic
- mass density (g/cm³) = 8.1
- space group = Pm-3m, No. 221

---

| no. | E_tot (eV/cell) |
| --- | --- |
| 1 | -106.7 |
| 2 | -99.2 |
| 3 | -86.7 |
| 4 | -56.7 |
| 5 | -62.5 |
| 6 | -26.2 |
| 7 | -24.7 |
| 8 | -22.3 |